Material: LaMnCo2
Method: DFT, SCAN
State: single point on PBEsol structure

E: -95.72 eV/cell
Fermi-level density of states: 3.36 states/eV/cell
volume: 67.7 Å³/cell
space-group type: R-3m

Cell lengths 5.409, 5.409, 5.409 Å; angles 43.36, 43.36, 43.36 degrees
Atoms (fractional coordinates):
La 0.000 0.000 0.000
Mn 0.500 0.500 0.500
Co 0.193 0.193 0.193
Co 0.807 0.807 0.807


Material: CsRb3Tl
Method: DFT, SCAN
State: single point on PBEsol structure

E: -172.47 eV/cell
Fermi-level density of states: 3.45 states/eV/cell
volume: 375.0 Å³/cell
space-group type: Pm-3m

Cell lengths 7.211, 7.211, 7.211 Å; angles 90.00, 90.00, 90.00 degrees
Atoms (fractional coordinates):
Cs 0.000 0.000 0.000
Rb 0.000 0.500 0.500
Rb 0.500 0.000 0.500
Rb 0.500 0.500 0.000
Tl 0.500 0.500 0.500


Material: Mn2ReNi
Method: DFT, SCAN
State: single point on PBEsol structure

E: -123.92 eV/cell
Fermi-level density of states: 4.54 states/eV/cell
volume: 45.9 Å³/cell
space-group type: I-4m2

Cell lengths 4.362, 4.362, 4.362 Å; angles 131.24, 131.24, 71.44 degrees
Atoms (fractional coordinates):
Mn 0.000 0.000 0.000
Mn 0.750 0.250 0.500
Re 0.500 0.500 0.000
Ni 0.250 0.750 0.500


Material: Tl2CrSe
Method: DFT, SCAN
State: single point on PBEsol structure

E: -183.00 eV/cell
Fermi-level density of states: 1.48 states/eV/cell
volume: 93.5 Å³/cell
space-group type: I4/mmm

Cell lengths 6.173, 6.173, 6.173 Å; angles 140.72, 140.72, 56.76 degrees
Atoms (fractional coordinates):
Tl 0.250 0.750 0.500
Tl 0.750 0.250 0.500
Cr 0.000 0.000 0.000
Se 0.500 0.500 0.000


Material: Ta2PN
Method: DFT, SCAN
State: single point on PBEsol structure

E: -153.65 eV/cell
Fermi-level density of states: 0.60 states/eV/cell
volume: 50.6 Å³/cell
space-group type: Fm-3m

Cell lengths 4.152, 4.152, 4.152 Å; angles 60.00, 60.00, 60.00 degrees
Atoms (fractional coordinates):
Ta 0.250 0.250 0.250
Ta 0.750 0.750 0.750
P 0.000 0.000 0.000
N 0.500 0.500 0.500


Material: PtO2F6
Method: DFT, SCAN
State: single point on PBEsol structure

E: -449.05 eV/cell
Fermi-level density of states: 29.13 states/eV/cell
volume: 537.3 Å³/cell
space-group type: Ia-3

Cell lengths 8.870, 8.870, 8.870 Å; angles 109.47, 109.47, 109.47 degrees
Atoms (fractional coordinates):
Pt 0.000 0.000 0.500
Pt 0.000 0.500 0.000
Pt 0.500 0.000 0.000
Pt 0.500 0.500 0.500
O 0.000 0.433 0.500
O 0.000 0.567 0.500
O 0.067 0.067 0.067
O 0.433 0.500 0.000
O 0.500 0.000 0.433
O 0.500 0.000 0.567
O 0.567 0.500 0.000
O 0.933 0.933 0.933
F 0.040 0.297 0.949
F 0.051 0.960 0.703
F 0.090 0.551 0.848
F 0.152 0.910 0.449
F 0.203 0.243 0.652
F 0.243 0.652 0.203
F 0.257 0.460 0.410
F 0.297 0.949 0.040
F 0.348 0.797 0.757
F 0.410 0.257 0.460
F 0.449 0.152 0.910
F 0.460 0.410 0.257
F 0.540 0.590 0.743
F 0.551 0.848 0.090
F 0.590 0.743 0.540
F 0.652 0.203 0.243
F 0.703 0.051 0.960
F 0.743 0.540 0.590
F 0.757 0.348 0.797
F 0.797 0.757 0.348
F 0.848 0.090 0.551
F 0.910 0.449 0.152
F 0.949 0.040 0.297
F 0.960 0.703 0.051


Material: Ca3BBr
Method: DFT, SCAN
State: single point on PBEsol structure

E: -57.49 eV/cell
Fermi-level density of states: 0.87 states/eV/cell
volume: 144.5 Å³/cell
space-group type: Pm-3m

Cell lengths 5.248, 5.248, 5.248 Å; angles 90.00, 90.00, 90.00 degrees
Atoms (fractional coordinates):
Ca 0.000 0.000 0.500
Ca 0.000 0.500 0.000
Ca 0.500 0.000 0.000
B 0.000 0.000 0.000
Br 0.500 0.500 0.500


Material: InHgRu2
Method: DFT, SCAN
State: single point on PBEsol structure

E: -169.41 eV/cell
Fermi-level density of states: 3.88 states/eV/cell
volume: 65.3 Å³/cell
space-group type: Fm-3m

Cell lengths 4.520, 4.520, 4.520 Å; angles 60.00, 60.00, 60.00 degrees
Atoms (fractional coordinates):
In 0.000 0.000 0.000
Hg 0.500 0.500 0.500
Ru 0.250 0.250 0.250
Ru 0.750 0.750 0.750


Number 1 is which compound? LaMnCo2


Fermi-level density of states of number 4 (Tl2CrSe)? 1.48 states/eV/cell